No. 1
Below is a geometry-optimized Sc3AlFe8 structure, with properties calculated at the PBE level.

Unit cell a=4.8684 b=4.8684 c=8.4307 alpha=73.22 beta=73.22 gamma=60.00
Closest atoms and distances in Å follow each position.
Element x y z (fractional)
Sc1 0.3753 0.3753 0.8741  12 Fe 2.85-2.89, 4 Sc 3.00-3.02
Sc2 0.9976 0.9976 0.0073  12 Fe 2.84-2.94, 1 Al 2.93, 3 Sc 3.00
Sc3 0.5019 0.5019 0.4943  12 Fe 2.78-2.86, 3 Al 2.96, 1 Sc 3.02
Al1 0.8747 0.8747 0.3759  12 Fe 2.81-2.85, 4 Sc 2.93-2.96
Fe1 0.9354 0.4363 0.1920  6 Fe 2.40-2.46
Fe2 0.4420 0.9376 0.6829  6 Fe 2.41-2.46
Fe3 0.4363 0.4363 0.1920  6 Fe 2.40-2.46
Fe4 0.9376 0.9376 0.6829  6 Fe 2.41-2.46
Fe5 0.1878 0.1878 0.4367  6 Fe 2.40-2.42
Fe6 0.6876 0.6876 0.9371  6 Fe 2.45-2.46
Fe7 0.4363 0.9354 0.1920  6 Fe 2.40-2.46
Fe8 0.9376 0.4420 0.6829  6 Fe 2.41-2.46

Summary:
* total magnetization: 11.76 μB/f.u.
* E_form: -0.259 eV per atom
* density of states at the Fermi level: 10.86 states/eV/f.u.


No. 2
Below is a geometry-optimized U3As2N2 structure, with properties calculated at the PBE level.

Unit cell a=3.8368 b=7.6744 c=9.4826 alpha=79.98 beta=78.33 gamma=75.52
Closest atoms and distances in Å follow each position.
Element x y z (fractional)
U1 0.0714 0.0031 0.8540  1 N 2.22
U2 0.9286 0.9969 0.1460  1 N 2.22
U3 0.1380 0.5069 0.2172  3 N 2.24-2.27
U4 0.8620 0.4931 0.7828  3 N 2.24-2.27
U5 0.3993 0.7413 0.4601  4 N 2.27-2.31
U6 0.6007 0.2587 0.5399  4 N 2.27-2.31
As1 0.2665 0.1237 0.3432  6 U 2.89-2.93
As2 0.7335 0.8763 0.6568  6 U 2.89-2.93
As3 0.3803 0.2637 0.9756  7 U 3.00-3.06, 1 N 3.34
As4 0.6197 0.7363 0.0244  7 U 3.00-3.06, 1 N 3.34
N1 0.0416 0.2373 0.6794  4 U 2.22-2.31
N2 0.9584 0.7627 0.3206  4 U 2.22-2.31
N3 0.4171 0.5156 0.6502  4 U 2.27-2.28
N4 0.5829 0.4844 0.3498  4 U 2.27-2.28

Summary:
* total magnetization: 5.68 μB/f.u.
* density of states at the Fermi level: 11.69 states/eV/f.u.
* total energy: -9.666 eV per atom


No. 3
Below is a geometry-optimized Cs4PrCl6 structure, with properties calculated at the PBE level.

Unit cell a=9.6597 b=9.6597 c=9.8292 alpha=90.00 beta=90.00 gamma=90.00
Closest atoms and distances in Å follow each position.
Element x y z (fractional)
Cs1 0.3304 0.1696 0.2500  6 Cl 3.55-3.60
Cs2 0.1696 0.6696 0.7500  6 Cl 3.55-3.60
Cs3 0.6696 0.8304 0.7500  6 Cl 3.55-3.60
Cs4 0.8304 0.3304 0.7500  6 Cl 3.55-3.60
Cs5 0.3304 0.1696 0.7500  6 Cl 3.55-3.60
Cs6 0.1696 0.6696 0.2500  6 Cl 3.55-3.60
Cs7 0.8304 0.3304 0.2500  6 Cl 3.55-3.60
Cs8 0.6696 0.8304 0.2500  6 Cl 3.55-3.60
Pr1 0.5000 0.5000 0.0000  6 Cl 2.79-2.94
Pr2 0.0000 0.0000 0.5000  6 Cl 2.79-2.94
Cl1 0.2889 0.9057 0.5000  1 Pr 2.94
Cl2 0.7889 0.5943 0.0000  1 Pr 2.94
Cl3 0.5943 0.2111 0.0000  1 Pr 2.94
Cl4 0.0943 0.2889 0.5000  1 Pr 2.94
Cl5 0.0000 0.0000 0.2160  1 Pr 2.79
Cl6 0.5000 0.5000 0.2840  1 Pr 2.79
Cl7 0.4057 0.7889 0.0000  1 Pr 2.94
Cl8 0.0000 0.0000 0.7840  1 Pr 2.79
Cl9 0.2111 0.4057 0.0000  1 Pr 2.94
Cl10 0.5000 0.5000 0.7160  1 Pr 2.79
Cl11 0.9057 0.7111 0.5000  1 Pr 2.94
Cl12 0.7111 0.0943 0.5000  1 Pr 2.94

Summary:
* total magnetization: 0.94 μB/f.u.
* density of states at the Fermi level: 3.95 states/eV/f.u.
* total energy: -3.665 eV per atom


No. 4
Below is a geometry-optimized ReTeP2 structure, with properties calculated at the PBE level.

Unit cell a=3.1878 b=3.1878 c=7.4268 alpha=90.00 beta=90.00 gamma=90.00
Closest atoms and distances in Å follow each position.
Element x y z (fractional)
P1 0.0000 0.0000 0.1184  4 P 2.46, 1 Re 2.47
P2 0.5000 0.5000 0.2527  4 P 2.46, 4 Re 2.69
Re1 0.0000 0.0000 0.4504  5 P 2.47-2.69
Te1 0.5000 0.5000 0.6784  4 Re 2.82

Summary:
* total magnetization: 0.00 μB/f.u.
* density of states at the Fermi level: 1.60 states/eV/f.u.
* total energy: -6.308 eV per atom


No. 5
Below is a geometry-optimized LaPrNiPd structure, with properties calculated at the PBE level.

Unit cell a=5.1088 b=5.1088 c=5.1088 alpha=60.00 beta=60.00 gamma=60.00
Closest atoms and distances in Å follow each position.
Element x y z (fractional)
Pr1 0.0000 0.0000 0.0000  4 Ni 3.13, 4 Pd 3.13
Ni1 0.2500 0.2500 0.2500  4 La 3.13, 4 Pr 3.13
Pd1 0.7500 0.7500 0.7500  4 La 3.13, 4 Pr 3.13
La1 0.5000 0.5000 0.5000  4 Ni 3.13, 4 Pd 3.13

Summary:
* total magnetization: 0.00 μB/f.u.
* E_form: -0.454 eV per atom
* density of states at the Fermi level: 4.39 states/eV/f.u.
* relative energy among the computed polymorphs: 0.36 eV per formula unit


No. 6
Below is a geometry-optimized AlIn2Si structure, with properties calculated at the PBE level.

Unit cell a=3.6991 b=3.0540 c=8.5369 alpha=68.99 beta=90.00 gamma=90.00
Closest atoms and distances in Å follow each position.
Element x y z (fractional)
Si1 0.0000 0.3022 0.5656  4 Al 2.61, 2 In 2.89
Al1 0.5000 0.6739 0.6941  4 Si 2.61
In1 0.0000 0.9306 0.9535  4 In 3.05-3.24, 1 Si 3.09, 4 Al 3.14-3.19
In2 0.5000 0.5934 0.2868  2 Si 2.89, 4 In 3.05-3.24

Summary:
* total magnetization: 0.00 μB/f.u.
* density of states at the Fermi level: 1.14 states/eV/f.u.
* total energy: -3.477 eV per atom


> Among the records above, which one has the highest total magnetization?

Sc3AlFe8


> Among the records above, which one has the lowest density of states at the Fermi level?

AlIn2Si


> Look up the total magnetization of the fifth one.

0.00 μB/f.u.


What did the fifth record say?
Below is a geometry-optimized LaPrNiPd structure, with properties calculated at the PBE level.

Unit cell a=5.1088 b=5.1088 c=5.1088 alpha=60.00 beta=60.00 gamma=60.00
Closest atoms and distances in Å follow each position.
Element x y z (fractional)
Pr1 0.0000 0.0000 0.0000  4 Ni 3.13, 4 Pd 3.13
Ni1 0.2500 0.2500 0.2500  4 La 3.13, 4 Pr 3.13
Pd1 0.7500 0.7500 0.7500  4 La 3.13, 4 Pr 3.13
La1 0.5000 0.5000 0.5000  4 Ni 3.13, 4 Pd 3.13

Summary:
* total magnetization: 0.00 μB/f.u.
* E_form: -0.454 eV per atom
* density of states at the Fermi level: 4.39 states/eV/f.u.
* relative energy among the computed polymorphs: 0.36 eV per formula unit